Entry from the Alexandria database: crystalline Ac2NiMoO6 at its relaxed geometry (PBE+U).

a = 5.713 Å, b = 5.871 Å, c = 5.747 Å
α = 59.11°, β = 59.98°, γ = 88.92°
Each line ends with the local moment (μB).
Fractional coordinates of all 10 atoms:
Ac  0.250  0.760  0.497  0.01
Ac  0.750  0.240  0.503  0.01
O  0.694  0.199  0.095  0.04
O  0.799  0.794  0.910  0.06
O  0.248  0.334  0.493  0.04
O  0.752  0.666  0.507  0.04
O  0.201  0.206  0.090  0.06
O  0.306  0.801  0.905  0.04
Ni  0.000  0.000  0.000  1.77
Mo  0.500  0.500  0.000  1.85

Summary:
Fermi-level density of states: 0.00 states/eV/cell
total moment: 4.000 μB/f.u.
final energy: -7.242 eV per atom
volume: 13.57 Å³/atom
mass density: 8.6 g/cm³